Computed, not measured: a geometry-optimized BaNiSb3 structure at the PBE level of DFT.

For the calculated volume, the calculation gives 141 Å³/f.u. Its density of states at the Fermi level is 3.30 states/eV/f.u. The calculated density is 6.6 Mg/m³. The calculation puts the final energy at -21.4 eV per cell. For the magnetic moment, the calculation gives 0.00 μB per formula unit.

The structure belongs to space group Pm-3m (No. 221); the cell edges are 5.210, 5.210 and 5.210 Å and the angles 90.00°, 90.00° and 90.00°. The inequivalent atoms are Ba at (0.000, 0.000, 0.000), Ni at (0.500, 0.500, 0.500) and Sb at (0.000, 0.500, 0.500).

=====

Computed, not measured: a geometry-optimized Ba2NiSb2 structure at the PBE level of DFT.

For the calculated volume, the calculation gives 152 Å³/f.u. Its density of states at the Fermi level is 2.58 states/eV/f.u. The calculated density is 6.3 Mg/m³. The calculation puts the final energy at -40.3 eV per cell. For the magnetic moment, the calculation gives 0.00 μB per formula unit.

The structure belongs to space group P4/mbm (No. 127); the cell edges are 7.395, 7.395 and 5.547 Å and the angles 90.00°, 90.00° and 90.00°. The inequivalent atoms are Ba at (0.171, 0.329, 0.000), Ni at (0.000, 0.000, 0.500) and Sb at (0.147, 0.647, 0.500).

=====

Computed, not measured: a geometry-optimized BaNiSb3 structure at the PBE level of DFT.

For the calculated volume, the calculation gives 240 Å³/f.u. Its density of states at the Fermi level is 11.05 states/eV/f.u. The calculated density is 3.9 Mg/m³. The calculation puts the final energy at -12.3 eV per cell. For the magnetic moment, the calculation gives 1.36 μB per formula unit.

The structure belongs to space group Pm-3m (No. 221); the cell edges are 6.214, 6.214 and 6.214 Å and the angles 90.00°, 90.00° and 90.00°. The inequivalent atoms are Ba at (0.000, 0.000, 0.000), Ni at (0.500, 0.500, 0.500) and Sb at (0.000, 0.000, 0.500).

=====

Computed, not measured: a geometry-optimized Ba2Ni2Sb structure at the PBE level of DFT.

For the calculated volume, the calculation gives 132 Å³/f.u. Its density of states at the Fermi level is 4.82 states/eV/f.u. The calculated density is 6.5 Mg/m³. The calculation puts the final energy at -41.0 eV per cell. For the magnetic moment, the calculation gives 0.00 μB per formula unit.

The structure belongs to space group P4/mbm (No. 127); the cell edges are 7.449, 7.449 and 4.755 Å and the angles 90.00°, 90.00° and 90.00°. The inequivalent atoms are Ba at (0.187, 0.313, 0.000), Ni at (0.112, 0.612, 0.500) and Sb at (0.000, 0.000, 0.500).

=====

Computed, not measured: a geometry-optimized Ba2NiSb structure at the PBE level of DFT.

For the calculated volume, the calculation gives 138 Å³/f.u. Its density of states at the Fermi level is 4.73 states/eV/f.u. The calculated density is 5.5 Mg/m³. The calculation puts the final energy at -29.6 eV per cell. For the magnetic moment, the calculation gives 0.66 μB per formula unit.

The structure belongs to space group C2/m (No. 12); the cell edges are 8.051, 8.081 and 4.228 Å and the angles 90.00°, 90.09° and 90.00°. The inequivalent atoms are Ba at (0.250, 0.250, 0.000), Ni at (0.000, 0.000, 0.500) and Sb at (0.000, 0.500, 0.500).

=====

Computed, not measured: a geometry-optimized Ba2NiSb structure at the PBE level of DFT.

For the calculated volume, the calculation gives 149 Å³/f.u. Its density of states at the Fermi level is 5.76 states/eV/f.u. The calculated density is 5.1 Mg/m³. The calculation puts the final energy at -28.8 eV per cell. For the magnetic moment, the calculation gives 0.18 μB per formula unit.

The structure belongs to space group C2/m (No. 12); the cell edges are 8.693, 4.094 and 8.636 Å and the angles 90.00°, 103.83° and 90.00°. The inequivalent atoms are Ba at (0.237, 0.000, 0.227), Ni at (0.000, 0.500, 0.000) and Sb at (0.000, 0.000, 0.500).

=====

What is the magnetic moment in the third record? 1.36 μB per formula unit

=====

Among the records above, which one has the lowest final energy? Ba2Ni2Sb

=====

Which value of calculated density does entry 5 give? 5.5 Mg/m³